## GeBiPdBr2 (PBE)

Data for crystalline GeBiPdBr2 at its relaxed geometry.

Cell and atoms, written as CIF:
```
data_GeBiPdBr2
_cell_length_a 5.015
_cell_length_b 5.015
_cell_length_c 5.659
_cell_angle_alpha 90.00
_cell_angle_beta 90.00
_cell_angle_gamma 90.00
_space_group_name_H-M_alt 'P 4/m m m'
_space_group_IT_number 123
_space_group_name_Hall '-P 4 2'
loop_
_atom_site_label
_atom_site_fract_x
_atom_site_fract_y
_atom_site_fract_z
_atom_site_occupancy
Ge1 0.000 0.000 0.000 1
Bi1 0.500 0.500 0.000 1
Pd1 0.500 0.500 0.500 1
Br1 0.000 0.500 0.500 1
```

## Properties
The density of states at the Fermi level comes out at 0.58 states/eV/atom. As for the raw formation energy: 0.214 eV per atom. The calculation puts the total magnetization at 0.000 μB/cell.


## Pr3GeBiBr (PBE)

Data for crystalline Pr3GeBiBr at its relaxed geometry.

Cell and atoms, written as CIF:
```
data_Pr3GeBiBr
_cell_length_a 7.681
_cell_length_b 4.383
_cell_length_c 11.718
_cell_angle_alpha 90.00
_cell_angle_beta 101.91
_cell_angle_gamma 90.00
_space_group_name_H-M_alt 'P 1 21/m 1'
_space_group_IT_number 11
loop_
_space_group_symop_operation_xyz
'x,y,z'
'-x,-y,-z'
'-x,y+1/2,-z'
'x,-y+1/2,z'
loop_
_atom_site_label
_atom_site_fract_x
_atom_site_fract_y
_atom_site_fract_z
_atom_site_occupancy
Pr1 0.041 0.250 0.143 1
Pr2 0.282 0.250 0.498 1
Pr3 0.453 0.750 0.849 1
Ge1 0.234 0.250 0.939 1
Bi1 0.346 0.750 0.306 1
Br1 0.123 0.750 0.632 1
```

## Properties
The density of states at the Fermi level comes out at 0.60 states/eV/atom. As for the raw formation energy: -0.989 eV per atom. The calculation puts the total magnetization at 0.000 μB/cell.


## Ge2BiPtBr (PBE)

Data for crystalline Ge2BiPtBr at its relaxed geometry.

Cell and atoms, written as CIF:
```
data_Ge2BiPtBr
_cell_length_a 5.618
_cell_length_b 5.618
_cell_length_c 5.393
_cell_angle_alpha 90.00
_cell_angle_beta 90.00
_cell_angle_gamma 90.00
_space_group_name_H-M_alt 'P 4/m m m'
_space_group_IT_number 123
_space_group_name_Hall '-P 4 2'
loop_
_atom_site_label
_atom_site_fract_x
_atom_site_fract_y
_atom_site_fract_z
_atom_site_occupancy
Ge1 0.000 0.500 0.000 1
Bi1 0.000 0.000 0.000 1
Pt1 0.500 0.500 0.500 1
Br1 0.000 0.000 0.500 1
```

## Properties
The density of states at the Fermi level comes out at 1.05 states/eV/atom. As for the raw formation energy: 1.228 eV per atom. The calculation puts the total magnetization at 0.000 μB/cell.


## GeBiRhBr2 (PBE)

Data for crystalline GeBiRhBr2 at its relaxed geometry.

Cell and atoms, written as CIF:
```
data_GeBiRhBr2
_cell_length_a 5.599
_cell_length_b 5.599
_cell_length_c 5.879
_cell_angle_alpha 90.00
_cell_angle_beta 90.00
_cell_angle_gamma 90.00
_space_group_name_H-M_alt 'P 4/m m m'
_space_group_IT_number 123
_space_group_name_Hall '-P 4 2'
loop_
_atom_site_label
_atom_site_fract_x
_atom_site_fract_y
_atom_site_fract_z
_atom_site_occupancy
Ge1 0.000 0.000 0.000 1
Bi1 0.000 0.000 0.500 1
Rh1 0.500 0.500 0.000 1
Br1 0.000 0.500 0.500 1
```

## Properties
The density of states at the Fermi level comes out at 0.86 states/eV/atom. As for the raw formation energy: 0.964 eV per atom. The calculation puts the total magnetization at 1.471 μB/cell.


## Ge2BiSBr (PBE)

Data for crystalline Ge2BiSBr at its relaxed geometry.

Cell and atoms, written as CIF:
```
data_Ge2BiSBr
_cell_length_a 5.083
_cell_length_b 5.083
_cell_length_c 6.077
_cell_angle_alpha 90.00
_cell_angle_beta 90.00
_cell_angle_gamma 90.00
_space_group_name_H-M_alt 'P 4/m m m'
_space_group_IT_number 123
_space_group_name_Hall '-P 4 2'
loop_
_atom_site_label
_atom_site_fract_x
_atom_site_fract_y
_atom_site_fract_z
_atom_site_occupancy
Ge1 0.000 0.500 0.000 1
Bi1 0.000 0.000 0.500 1
S1 0.500 0.500 0.500 1
Br1 0.000 0.000 0.000 1
```

## Properties
The density of states at the Fermi level comes out at 1.11 states/eV/atom. As for the raw formation energy: 1.099 eV per atom. The calculation puts the total magnetization at 0.000 μB/cell.


## ScGeBi2Br (PBE)

Data for crystalline ScGeBi2Br at its relaxed geometry.

Cell and atoms, written as CIF:
```
data_ScGeBi2Br
_cell_length_a 5.820
_cell_length_b 5.820
_cell_length_c 4.872
_cell_angle_alpha 90.00
_cell_angle_beta 90.00
_cell_angle_gamma 90.00
_space_group_name_H-M_alt 'P 4/m m m'
_space_group_IT_number 123
_space_group_name_Hall '-P 4 2'
loop_
_atom_site_label
_atom_site_fract_x
_atom_site_fract_y
_atom_site_fract_z
_atom_site_occupancy
Sc1 0.000 0.000 0.000 1
Ge1 0.500 0.500 0.000 1
Bi1 0.000 0.500 0.500 1
Br1 0.000 0.000 0.500 1
```

## Properties
The density of states at the Fermi level comes out at 0.93 states/eV/atom. As for the raw formation energy: 0.544 eV per atom. The calculation puts the total magnetization at 0.000 μB/cell.


What did the third record say?
## Ge2BiPtBr (PBE)

Data for crystalline Ge2BiPtBr at its relaxed geometry.

Cell and atoms, written as CIF:
```
data_Ge2BiPtBr
_cell_length_a 5.618
_cell_length_b 5.618
_cell_length_c 5.393
_cell_angle_alpha 90.00
_cell_angle_beta 90.00
_cell_angle_gamma 90.00
_space_group_name_H-M_alt 'P 4/m m m'
_space_group_IT_number 123
_space_group_name_Hall '-P 4 2'
loop_
_atom_site_label
_atom_site_fract_x
_atom_site_fract_y
_atom_site_fract_z
_atom_site_occupancy
Ge1 0.000 0.500 0.000 1
Bi1 0.000 0.000 0.000 1
Pt1 0.500 0.500 0.500 1
Br1 0.000 0.000 0.500 1
```

## Properties
The density of states at the Fermi level comes out at 1.05 states/eV/atom. As for the raw formation energy: 1.228 eV per atom. The calculation puts the total magnetization at 0.000 μB/cell.


Question: What is the raw formation energy in the third record?
Answer: 1.228 eV per atom